Entry 1:
The following is a PBE-GGA calculation of NpSc5P6 after structural relaxation, from the Alexandria database.

The space group is C2/m (No. 12) and the conventional cell measures 6.5591, 11.3615 and 6.5593 Å, with angles of 90.00, 109.47 and 90.00 degrees. The distinct sites, in fractional coordinates, are Np at (0.0000, 0.0000, 0.0000), Sc at (0.0000, 0.1663, 0.5000), Sc at (0.0000, 0.3333, 0.0000), Sc at (0.0000, 0.5000, 0.5000), P at (0.2475, 0.3319, 0.7466) and P at (0.2474, 0.5000, 0.2509).

For the formation energy, the calculation gives -133.0 kJ/mol of atoms. The calculation puts the density of states at the Fermi level at 0.951 states/eV per atom. The value obtained for the total magnetization is 6.579 μB per cell.

=====

Entry 2:
The following is a PBE-GGA calculation of Np5ScP6 after structural relaxation, from the Alexandria database.

The space group is C2/m (No. 12) and the conventional cell measures 6.7993, 11.7875 and 6.7998 Å, with angles of 90.00, 109.51 and 90.00 degrees. The distinct sites, in fractional coordinates, are Np at (0.0000, 0.0000, 0.0000), Np at (0.0000, 0.1661, 0.5000), Np at (0.0000, 0.3326, 0.0000), Sc at (0.0000, 0.5000, 0.5000), P at (0.2458, 0.3356, 0.7451) and P at (0.2458, 0.5000, 0.2519).

For the formation energy, the calculation gives -93.5 kJ/mol of atoms. The calculation puts the density of states at the Fermi level at 2.905 states/eV per atom. The value obtained for the total magnetization is 36.802 μB per cell.

=====

Entry 3:
The following is a PBE-GGA calculation of NpSc3P4 after structural relaxation, from the Alexandria database.

The space group is Cmmm (No. 65) and the conventional cell measures 7.6212, 10.7422 and 3.8043 Å, with angles of 90.00, 90.00 and 90.00 degrees. The distinct sites, in fractional coordinates, are Np at (0.0000, 0.0000, 0.0000), Sc at (0.0000, 0.5000, 0.0000), Sc at (0.2500, 0.2500, 0.5000), P at (0.0000, 0.2520, 0.0000) and P at (0.2430, 0.5000, 0.5000).

For the formation energy, the calculation gives -128.1 kJ/mol of atoms. The calculation puts the density of states at the Fermi level at 1.066 states/eV per atom. The value obtained for the total magnetization is 6.947 μB per cell.

=====

Entry 4:
The following is a PBE-GGA calculation of Np4ScP5 after structural relaxation, from the Alexandria database.

The space group is Immm (No. 71) and the conventional cell measures 3.9152, 5.5514 and 19.6324 Å, with angles of 90.00, 90.00 and 90.00 degrees. The distinct sites, in fractional coordinates, are Np at (0.0000, 0.0000, 0.0984), Np at (0.0000, 0.0000, 0.3021), Sc at (0.0000, 0.0000, 0.5000), P at (0.0000, 0.5000, 0.0964), P at (0.0000, 0.5000, 0.2999) and P at (0.0000, 0.5000, 0.5000).

For the formation energy, the calculation gives -95.1 kJ/mol of atoms. The calculation puts the density of states at the Fermi level at 2.876 states/eV per atom. The value obtained for the total magnetization is 29.590 μB per cell.

=====

Entry 5:
The following is a PBE-GGA calculation of NpSc2P3 after structural relaxation, from the Alexandria database.

The space group is Pnma (No. 62) and the conventional cell measures 7.6492, 5.4194 and 11.4424 Å, with angles of 90.00, 90.00 and 90.00 degrees. The distinct sites, in fractional coordinates, are Np at (0.1276, 0.2500, 0.0822), Sc at (0.1226, 0.2500, 0.4163), Sc at (0.1241, 0.2500, 0.7508), P at (0.1220, 0.7500, 0.4153), P at (0.1237, 0.7500, 0.7503) and P at (0.1306, 0.7500, 0.0858).

For the formation energy, the calculation gives -122.5 kJ/mol of atoms. The calculation puts the density of states at the Fermi level at 1.289 states/eV per atom. The value obtained for the total magnetization is 14.554 μB per cell.

=====

Entry 6:
The following is a PBE-GGA calculation of Np3ScP4 after structural relaxation, from the Alexandria database.

The space group is P2/c (No. 13) and the conventional cell measures 6.7797, 7.8181 and 6.7741 Å, with angles of 90.00, 109.55 and 90.00 degrees. The distinct sites, in fractional coordinates, are Np at (0.0000, 0.1236, 0.2500), Np at (0.0000, 0.3729, 0.7500), Np at (0.5000, 0.3727, 0.2500), Sc at (0.5000, 0.1235, 0.7500), P at (0.2549, 0.3715, 0.5036) and P at (0.2568, 0.1209, 0.0010).

For the formation energy, the calculation gives -98.5 kJ/mol of atoms. The calculation puts the density of states at the Fermi level at 2.558 states/eV per atom. The value obtained for the total magnetization is 22.193 μB per cell.

=====

Entry 7:
The following is a PBE-GGA calculation of Sr2NpScP4 after structural relaxation, from the Alexandria database.

The space group is P2/m (No. 10) and the conventional cell measures 6.9515, 4.0892 and 7.2364 Å, with angles of 90.00, 108.72 and 90.00 degrees. The distinct sites, in fractional coordinates, are Sr at (0.0000, 0.0000, 0.0000), Sr at (0.5000, 0.5000, 0.0000), Np at (0.0000, 0.5000, 0.5000), Sc at (0.5000, 0.0000, 0.5000), P at (0.2364, 0.0000, 0.7076) and P at (0.2607, 0.5000, 0.2932).

For the formation energy, the calculation gives -102.7 kJ/mol of atoms. The calculation puts the density of states at the Fermi level at 0.745 states/eV per atom. The value obtained for the total magnetization is 1.995 μB per cell.

=====

Entry 8:
The following is a PBE-GGA calculation of Tb2NpScP4 after structural relaxation, from the Alexandria database.

The space group is P2/m (No. 10) and the conventional cell measures 6.8040, 3.9400 and 6.8298 Å, with angles of 90.00, 109.28 and 90.00 degrees. The distinct sites, in fractional coordinates, are Tb at (0.0000, 0.0000, 0.0000), Tb at (0.5000, 0.5000, 0.0000), Np at (0.0000, 0.5000, 0.5000), Sc at (0.5000, 0.0000, 0.5000), P at (0.2503, 0.0000, 0.7390) and P at (0.2571, 0.5000, 0.2645).

For the formation energy, the calculation gives -132.9 kJ/mol of atoms. The calculation puts the density of states at the Fermi level at 1.196 states/eV per atom. The value obtained for the total magnetization is 3.526 μB per cell.

=====

Entry 9:
The following is a PBE-GGA calculation of TbNp2ScP4 after structural relaxation, from the Alexandria database.

The space group is P2/m (No. 10) and the conventional cell measures 6.7988, 3.9134 and 6.8010 Å, with angles of 90.00, 109.40 and 90.00 degrees. The distinct sites, in fractional coordinates, are Tb at (0.0000, 0.0000, 0.0000), Np at (0.5000, 0.0000, 0.5000), Np at (0.5000, 0.5000, 0.0000), Sc at (0.0000, 0.5000, 0.5000), P at (0.2457, 0.0000, 0.7410) and P at (0.2511, 0.5000, 0.2587).

For the formation energy, the calculation gives -112.8 kJ/mol of atoms. The calculation puts the density of states at the Fermi level at 2.354 states/eV per atom. The value obtained for the total magnetization is 0.151 μB per cell.

=====

Entry 10:
The following is a PBE-GGA calculation of Np2ScTiP4 after structural relaxation, from the Alexandria database.

The space group is P2/m (No. 10) and the conventional cell measures 6.5269, 3.7883 and 6.5991 Å, with angles of 90.00, 109.42 and 90.00 degrees. The distinct sites, in fractional coordinates, are Np at (0.0000, 0.0000, 0.0000), Np at (0.0000, 0.5000, 0.5000), Sc at (0.5000, 0.0000, 0.5000), Ti at (0.5000, 0.5000, 0.0000), P at (0.2684, 0.5000, 0.2484) and P at (0.2722, 0.0000, 0.7639).

For the formation energy, the calculation gives -102.9 kJ/mol of atoms. The calculation puts the density of states at the Fermi level at 2.236 states/eV per atom. The value obtained for the total magnetization is 0.007 μB per cell.

=====

Entry 11:
The following is a PBE-GGA calculation of NpSc2TiP4 after structural relaxation, from the Alexandria database.

The space group is P2/m (No. 10) and the conventional cell measures 6.4610, 3.7540 and 6.4961 Å, with angles of 90.00, 109.15 and 90.00 degrees. The distinct sites, in fractional coordinates, are Np at (0.0000, 0.0000, 0.0000), Sc at (0.0000, 0.5000, 0.5000), Sc at (0.5000, 0.0000, 0.5000), Ti at (0.5000, 0.5000, 0.0000), P at (0.2633, 0.0000, 0.7577) and P at (0.2635, 0.5000, 0.2522).

For the formation energy, the calculation gives -116.7 kJ/mol of atoms. The calculation puts the density of states at the Fermi level at 1.074 states/eV per atom. The value obtained for the total magnetization is 3.829 μB per cell.

=====

Entry 12:
The following is a PBE-GGA calculation of TmNpSc2P4 after structural relaxation, from the Alexandria database.

The space group is P2/m (No. 10) and the conventional cell measures 6.6550, 3.8512 and 6.6801 Å, with angles of 90.00, 109.39 and 90.00 degrees. The distinct sites, in fractional coordinates, are Tm at (0.0000, 0.0000, 0.0000), Np at (0.0000, 0.5000, 0.5000), Sc at (0.5000, 0.0000, 0.5000), Sc at (0.5000, 0.5000, 0.0000), P at (0.2598, 0.5000, 0.2557) and P at (0.2608, 0.0000, 0.7527).

For the formation energy, the calculation gives -130.7 kJ/mol of atoms. The calculation puts the density of states at the Fermi level at 1.111 states/eV per atom. The value obtained for the total magnetization is 3.542 μB per cell.